The following is a PBE+U calculation of a relaxed LaMnZnFeO6 crystal, from Alexandria.

Lattice parameters (Å, degrees): 5.501 5.257 9.369 55.40 90.00 90.00
Atoms (fractional coordinates):
La 0.231 0.738 0.250
La 0.769 0.738 0.750
Mn 0.748 0.503 0.499
Mn 0.252 0.503 0.999
Zn 0.730 0.278 0.252
Zn 0.270 0.278 0.752
Fe 0.749 0.997 0.002
Fe 0.251 0.997 0.502
O 0.242 0.884 0.758
O 0.036 0.277 0.941
O 0.032 0.652 0.559
O 0.968 0.652 0.059
O 0.964 0.277 0.441
O 0.758 0.884 0.258
O 0.736 0.181 0.741
O 0.494 0.679 0.562
O 0.491 0.312 0.935
O 0.509 0.312 0.435
O 0.506 0.679 0.062
O 0.264 0.181 0.241

Values from the calculation:
The calculation puts the total energy at -6.6970 eV per atom. The size of the total moment comes out at 12.02 μB per cell. The symmetry is Pc, No. 7.